DFT (GGA-PBE) results for crystalline ZrHRh2W at its relaxed geometry.

Lattice parameters (Å, degrees): 4.0420 4.0420 4.1005 90.00 90.00 90.00
Closest atoms and distances in Å follow each position.
Element x y z (fractional)
H: 0.0000 0.0000 0.0000  4 Rh 2.02, 2 W 2.05
Rh: 0.0000 0.5000 0.0000  2 H 2.02
Rh: 0.5000 0.0000 0.0000  2 H 2.02
Zr: 0.5000 0.5000 0.5000  4 W 2.86, 8 Rh 2.88
W: 0.0000 0.0000 0.5000  2 H 2.05

N(E_F) = 0.812 states/eV per atom
Final energy = -8.1455 eV/atom